(1)
Crystalline Si2Ir at its relaxed geometry, computed with GGA-PBE.

## Properties
Crystal system: cubic
VASP energy: -6.059 eV per atom
Space-group type: Fd-3m (227)
Magnetic moment: 0.0004 μB per atom

abc: 4.8803 4.8803 4.8803
angles: 60.00 60.00 60.00
Fractional coordinates of all 6 atoms:
Ir  0.0000  0.0000  0.0000
Ir  0.2500  0.2500  0.2500
Si  0.6250  0.6250  0.1250
Si  0.6250  0.1250  0.6250
Si  0.1250  0.6250  0.6250
Si  0.6250  0.6250  0.6250

(2)
Crystalline Si5Ir3 at its relaxed geometry, computed with GGA-PBE.

## Properties
Crystal system: monoclinic
VASP energy: -7.334 eV per atom
Space-group type: P2_1/c (14)
Magnetic moment: 0.0001 μB per atom

abc: 6.4662 14.2999 11.6596
angles: 90.00 116.58 90.00
Fractional coordinates of all 64 atoms:
Ir  0.2667  0.1647  0.0069
Ir  0.9331  0.0936  0.1035
Ir  0.9276  0.4018  0.1112
Ir  0.7367  0.6666  0.1332
Ir  0.4182  0.4565  0.2272
Ir  0.4518  0.7524  0.2439
Ir  0.5482  0.2524  0.2561
Ir  0.5818  0.9565  0.2728
Ir  0.2633  0.1666  0.3668
Ir  0.0724  0.9018  0.3888
Ir  0.0669  0.5936  0.3965
Ir  0.7333  0.6647  0.4931
Ir  0.2667  0.3353  0.5069
Ir  0.9331  0.4064  0.6035
Ir  0.9276  0.0982  0.6112
Ir  0.7367  0.8334  0.6332
Ir  0.4182  0.0435  0.7272
Ir  0.4518  0.7476  0.7439
Ir  0.5482  0.2476  0.7561
Ir  0.5818  0.5435  0.7728
Ir  0.2633  0.3334  0.8668
Ir  0.0724  0.5982  0.8888
Ir  0.0669  0.9064  0.8965
Ir  0.7333  0.8353  0.9931
Si  0.8525  0.5633  0.0094
Si  0.4269  0.8417  0.0673
Si  0.2440  0.0099  0.0765
Si  0.5474  0.3497  0.0909
Si  0.3603  0.6129  0.1087
Si  0.1164  0.2490  0.1440
Si  0.8282  0.9428  0.1645
Si  0.6358  0.1095  0.1725
Si  0.0536  0.7799  0.1916
Si  0.7573  0.5119  0.2049
Si  0.2427  0.0119  0.2951
Si  0.9464  0.2799  0.3084
Si  0.3642  0.6095  0.3275
Si  0.1718  0.4428  0.3355
Si  0.8836  0.7490  0.3560
Si  0.6397  0.1129  0.3913
Si  0.4526  0.8497  0.4091
Si  0.7560  0.5099  0.4235
Si  0.5731  0.3417  0.4327
Si  0.1475  0.0633  0.4906
Si  0.8525  0.9367  0.5094
Si  0.4269  0.6583  0.5673
Si  0.2440  0.4901  0.5765
Si  0.5474  0.1503  0.5909
Si  0.3603  0.8871  0.6087
Si  0.1164  0.2510  0.6440
Si  0.8282  0.5572  0.6645
Si  0.6358  0.3905  0.6725
Si  0.0536  0.7201  0.6916
Si  0.7573  0.9881  0.7049
Si  0.2427  0.4881  0.7951
Si  0.9464  0.2201  0.8084
Si  0.3642  0.8905  0.8275
Si  0.1718  0.0572  0.8355
Si  0.8836  0.7510  0.8560
Si  0.6397  0.3871  0.8913
Si  0.4526  0.6503  0.9091
Si  0.7560  0.9901  0.9235
Si  0.5731  0.1583  0.9327
Si  0.1475  0.4367  0.9906